[1]
The following is a GGA-PBE calculation of crystalline La2PmDyTm5 at its relaxed geometry, from Alexandria via LeMat-Bulk.

Output
DOS(E_F)	46.00	states/eV/cell
formation energy	0.26	eV/atom
M_tot	0.00	μB/atom
volume	289.8	Å³/f.u.

Unit cell a=8.586 b=8.586 c=15.722 alpha=90.00 beta=90.00 gamma=90.00
Space group I4/mcm (No. 140)
Symmetry-distinct sites (fractional):
La 0.118 0.382 0.000 x8
Pm 0.000 0.500 0.250 x4
Dy 0.000 0.000 0.250 x4
Tm 0.000 0.000 0.000 x4
Tm 0.214 0.286 0.358 x16

=====

[2]
The following is a GGA-PBE calculation of crystalline Y2GaCl at its relaxed geometry, from Alexandria via LeMat-Bulk.

Output
DOS(E_F)	4.25	states/eV/cell
raw formation energy	-918	meV/atom
M_tot	0.02	μB/atom
polymorph energy (0 for the lowest one)	34	meV/atom
volume	96.6	Å³/f.u.

Unit cell a=3.6488 b=3.6488 c=25.1384 alpha=90.00 beta=90.00 gamma=120.00
Space group R3m (No. 160, hexagonal axes)
Symmetry-distinct sites (fractional):
Y 0.0000 0.0000 0.0000 x3
Y 0.0000 0.0000 0.1708 x3
Ga 0.0000 0.0000 0.5857 x3
Cl 0.0000 0.0000 0.4163 x3

=====

[3]
The following is a GGA-PBE calculation of crystalline CrTcAs2Au at its relaxed geometry, from Alexandria via LeMat-Bulk.

Output
DOS(E_F)	4.71	states/eV/cell
formation energy	0.80	eV/atom
M_tot	0.17	μB/atom
volume	94.3	Å³/f.u.

Unit cell a=4.544 b=4.544 c=4.569 alpha=90.00 beta=90.00 gamma=90.00
Space group P4/mmm (No. 123)
Symmetry-distinct sites (fractional):
Cr 0.000 0.000 0.000 x1
Tc 0.000 0.000 0.500 x1
As 0.000 0.500 0.000 x2
Au 0.500 0.500 0.500 x1

=====

[4]
The following is a GGA-PBE calculation of crystalline Na2SmInI6 at its relaxed geometry, from Alexandria via LeMat-Bulk.

Output
DOS(E_F)	0.00	states/eV/cell
raw formation energy	-1147	meV/atom
M_tot	0.00	μB/atom
volume	432.9	Å³/f.u.

Unit cell a=8.1655 b=8.1655 c=22.4863 alpha=90.00 beta=90.00 gamma=120.00
Space group R3 (No. 146, hexagonal axes)
Symmetry-distinct sites (fractional):
Na 0.0000 0.0000 0.0000 x3
Na 0.0000 0.0000 0.4885 x3
Sm 0.0000 0.0000 0.6768 x3
In 0.0000 0.0000 0.1881 x3
I 0.0065 0.3507 0.4169 x9
I 0.0221 0.6382 0.2565 x9

=====

[5]
The following is a GGA-PBE calculation of crystalline Na2CaW at its relaxed geometry, from Alexandria via LeMat-Bulk.

Output
DOS(E_F)	7.81	states/eV/cell
formation energy	1.27	eV/atom
M_tot	0.94	μB/atom
polymorph energy (0 for the lowest one)	0	meV/atom
volume	110.3	Å³/f.u.

Unit cell a=7.613 b=7.613 c=7.613 alpha=90.00 beta=90.00 gamma=90.00
Space group Fm-3m (No. 225)
Symmetry-distinct sites (fractional):
Na 0.250 0.250 0.250 x8
Ca 0.000 0.000 0.000 x4
W 0.000 0.000 0.500 x4

=====

[6]
The following is a GGA-PBE calculation of crystalline LaScH2Ir at its relaxed geometry, from Alexandria via LeMat-Bulk.

Output
DOS(E_F)	2.72	states/eV/cell
M_tot	0.10	μB/atom
E_tot	-24.80	eV per formula unit
volume	109.1	Å³/f.u.

Unit cell a=3.993 b=3.993 c=6.841 alpha=90.00 beta=90.00 gamma=90.00
Space group P4/mmm (No. 123)
Symmetry-distinct sites (fractional):
La 0.000 0.000 0.000 x1
Sc 0.000 0.000 0.500 x1
H 0.000 0.500 0.000 x2
Ir 0.500 0.500 0.500 x1

=====

[7]
The following is a GGA-PBE calculation of crystalline Tb15Pr4Tl at its relaxed geometry, from Alexandria via LeMat-Bulk.

Output
DOS(E_F)	24.75	states/eV/cell
formation energy	-0.01	eV/atom
M_tot	0.00	μB/atom
volume	643.8	Å³/f.u.

Unit cell a=5.027 b=5.027 c=25.475 alpha=90.00 beta=90.00 gamma=90.00
Space group P4/mmm (No. 123)
Symmetry-distinct sites (fractional):
Tb 0.000 0.000 0.000 x1
Tb 0.000 0.000 0.194 x2
Tb 0.000 0.000 0.398 x2
Tb 0.000 0.500 0.096 x4
Tb 0.000 0.500 0.298 x4
Tb 0.000 0.500 0.500 x2
Pr 0.500 0.500 0.198 x2
Pr 0.500 0.500 0.399 x2
Tl 0.500 0.500 0.000 x1

=====

[8]
The following is a GGA-PBE calculation of crystalline Ti2Al2Zn at its relaxed geometry, from Alexandria via LeMat-Bulk.

Output
DOS(E_F)	8.41	states/eV/cell
formation energy	-0.20	eV/atom
M_tot	0.00	μB/atom
polymorph energy (0 for the lowest one)	33	meV/atom
volume	82.6	Å³/f.u.

Unit cell a=6.437 b=6.437 c=3.987 alpha=90.00 beta=90.00 gamma=90.00
Space group P4/mbm (No. 127)
Symmetry-distinct sites (fractional):
Ti 0.162 0.338 0.000 x4
Al 0.138 0.638 0.500 x4
Zn 0.000 0.000 0.500 x2